1.
The following is a PBE-GGA calculation of an optimized crystal structure of Nd4Tl3Se8, from Alexandria via LeMat-Bulk.

Total magnetization = 0.00 μB/f.u.
Space group = C2/m
Formation energy without anion corrections = -30.01 kcal/mol of atoms
Fermi-level density of states = 0.382 states/eV per atom

Cell and atoms, written as POSCAR:
```
Nd4Tl3Se8
1.0
-2.659 8.057 -1.513
-0.163 -5.832 -6.415
-4.895 -5.281 4.831
Se Nd Tl
8 4 3
direct
0.523 0.773 0.773
0.477 0.227 0.227
0.000 0.755 0.245
0.018 0.764 0.764
0.000 0.245 0.755
0.500 0.759 0.241
0.982 0.236 0.236
0.500 0.241 0.759
0.500 0.000 0.000
0.000 0.000 0.500
0.000 0.000 0.000
0.000 0.500 0.000
0.500 0.500 0.000
0.500 0.500 0.500
0.500 0.000 0.500
```

2.
The following is a PBE-GGA calculation of an optimized crystal structure of Ta2BAs, from Alexandria via LeMat-Bulk.

Distance to the lowest polymorph of the same formula = 0.1571 eV per atom
Total magnetization = 0.00 μB/f.u.
Space group = I-42d
Energy relative to the elements = 0.360 eV per atom
Fermi-level density of states = 0.485 states/eV per atom

Cell and atoms, written as POSCAR:
```
Ta2BAs
1.0
-1.636 -1.327 4.933
-4.865 -1.176 -1.930
-1.682 -6.346 0.651
Ta As B
4 2 2
direct
0.194 0.625 0.250
0.375 0.444 0.750
0.875 0.806 0.750
0.556 0.125 0.250
0.750 0.250 0.500
0.000 0.000 0.000
0.500 0.500 0.000
0.250 0.750 0.500
```

3.
The following is a PBE-GGA calculation of an optimized crystal structure of Co14NiRh, from Alexandria via LeMat-Bulk.

Total magnetization = 25.49 μB/f.u.
Space group = Amm2
Energy relative to the elements = 0.014 eV per atom
Fermi-level density of states = 0.964 states/eV per atom

Cell and atoms, written as POSCAR:
```
Co14NiRh
1.0
-0.897 -2.045 4.527
3.361 -2.122 -3.112
5.897 4.587 3.240
Co Rh Ni
14 1 1
direct
0.375 0.625 0.253
0.043 0.459 0.000
0.370 0.122 0.755
0.878 0.630 0.245
0.370 0.122 0.245
0.878 0.630 0.755
0.541 0.459 0.000
0.041 0.959 0.000
0.877 0.123 0.755
0.711 0.792 0.500
0.877 0.123 0.245
0.541 0.957 0.000
0.375 0.625 0.747
0.208 0.289 0.500
0.708 0.292 0.500
0.207 0.793 0.500
```

4.
The following is a PBE-GGA calculation of an optimized crystal structure of AcFeB, from Alexandria via LeMat-Bulk.

Total magnetization = 0.46 μB/f.u.
Space group = C2/m
Energy relative to the elements = -0.209 eV per atom
Fermi-level density of states = 1.162 states/eV per atom

Cell and atoms, written as POSCAR:
```
AcFeB
1.0
3.730 -0.179 0.043
0.178 3.730 0.044
-0.112 -0.103 8.640
Fe B Ac
2 2 2
direct
0.814 0.366 0.920
0.314 0.867 0.920
0.313 0.366 0.829
0.814 0.867 0.010
0.813 0.866 0.636
0.314 0.367 0.203
```